Entry 1:
Below is a relaxed Y3GeS crystal, with properties calculated at the PBE-GGA level.

abc: 5.114 5.114 5.114
angles: 90.00 90.00 90.00
Fractional positions:
Y (0.000, 0.500, 0.000)
Y (0.000, 0.000, 0.500)
Y (0.500, 0.000, 0.000)
Ge (0.500, 0.500, 0.500)
S (0.000, 0.000, 0.000)

energy above the lowest structure with this stoichiometry: 0.0 meV/atom
formation energy from raw total energies: -0.754 eV/atom

---

Entry 2:
Below is a relaxed Al4C3 crystal, with properties calculated at the PBE-GGA level.

abc: 8.748 8.748 8.748
angles: 160.40 160.40 27.86
Fractional positions:
Al (0.804, 0.804, 0.000)
Al (0.196, 0.196, 0.000)
Al (0.568, 0.568, 0.000)
Al (0.432, 0.432, 0.000)
C (0.000, 0.000, 0.000)
C (0.681, 0.681, 0.000)
C (0.319, 0.319, 0.000)

energy above the lowest structure with this stoichiometry: 505.0 meV/atom
energy of formation from the pure elements: 0.414 eV/atom

---

Entry 3:
Below is a relaxed DyHo6Co3 crystal, with properties calculated at the PBE-GGA level.

abc: 7.186 8.326 8.326
angles: 93.45 90.00 90.00
Fractional positions:
Dy (0.051, 0.314, 0.686)
Dy (0.551, 0.686, 0.314)
Ho (0.050, 0.714, 0.714)
Ho (0.550, 0.714, 0.714)
Ho (0.298, 0.501, 0.001)
Ho (0.798, 0.001, 0.501)
Ho (0.299, 0.994, 0.006)
Ho (0.550, 0.332, 0.668)
Ho (0.050, 0.668, 0.332)
Ho (0.799, 0.006, 0.994)
Ho (0.298, 0.999, 0.499)
Ho (0.798, 0.499, 0.999)
Ho (0.050, 0.286, 0.286)
Ho (0.550, 0.286, 0.286)
Co (0.544, 0.029, 0.751)
Co (0.044, 0.751, 0.029)
Co (0.301, 0.501, 0.499)
Co (0.801, 0.499, 0.501)
Co (0.044, 0.971, 0.249)
Co (0.544, 0.249, 0.971)

energy of formation from the pure elements: -0.066 eV/atom

---

Entry 4:
Below is a relaxed Ac2HoSb2Se2 crystal, with properties calculated at the PBE-GGA level.

abc: 5.738 5.738 8.781
angles: 109.07 109.07 90.00
Fractional positions:
Ac (0.369, 0.369, 0.739)
Ac (0.631, 0.631, 0.261)
Ho (0.000, 0.000, 0.000)
Sb (0.000, 0.500, 0.000)
Sb (0.500, 0.000, 0.000)
Se (0.182, 0.182, 0.364)
Se (0.818, 0.818, 0.636)

formation energy from raw total energies: -1.096 eV/atom

---

The evaluated spin magnetization for the records listed, in turn: 0.00, 0.00, 0.00, 0.00 μB per atom.